[1]
KCaSe2 | PBE | relaxed

Unit cell a=3.870 b=3.870 c=7.260 alpha=90.00 beta=90.00 gamma=90.00
Space group P4/mmm (No. 123)
One atom of each set of equivalent atoms:
K 0.000 0.000 0.000 x1
Ca 0.000 0.000 0.500 x1
Se 0.500 0.500 0.291 x2

Computed properties:
Formation energy without anion corrections: -1.246 eV/atom
Total moment: 0.000 μB per atom

***

[2]
K2CaSe | PBE | relaxed

Unit cell a=22.309 b=4.008 c=4.238 alpha=90.00 beta=100.70 gamma=90.00
Space group C2/m (No. 12)
One atom of each set of equivalent atoms:
K 0.163 0.000 0.160 x4
Ca 0.000 0.000 0.500 x2
Se 0.000 0.500 0.000 x2

Computed properties:
Formation energy without anion corrections: -0.786 eV/atom
Total moment: 0.000 μB per atom

***

[3]
KCaSe2 | PBE | relaxed

Unit cell a=6.624 b=7.901 c=3.958 alpha=90.00 beta=90.00 gamma=90.00
Space group Cmmm (No. 65)
One atom of each set of equivalent atoms:
K 0.000 0.000 0.000 x2
Ca 0.000 0.500 0.000 x2
Se 0.250 0.250 0.500 x4

Computed properties:
Formation energy without anion corrections: -1.174 eV/atom
Total moment: 0.000 μB per atom